YbDy2S4: relaxed, PBE.

abc: 7.2278 7.2278 7.2278
angles: 109.44 109.44 109.53
Last column: magnetic moment on the atom in μB.
Fractional positions:
Yb 0.7500 0.2500 0.5000  0.25
Yb 0.5000 0.5000 0.0000  0.25
Dy 0.9978 0.3750 0.1228  -0.01
Dy 0.6250 0.7478 0.6228  -0.01
Dy 0.2522 0.8750 0.8772  -0.01
Dy 0.1250 0.0022 0.3772  -0.01
S 0.5145 0.1204 0.7502  0.00
S 0.0142 0.1202 0.7498  0.00
S 0.8798 0.6296 0.8940  0.00
S 0.3704 0.2645 0.2502  0.00
S 0.2358 0.4855 0.6060  0.00
S 0.3702 0.7642 0.2498  0.00
S 0.8796 0.6298 0.3940  0.00
S 0.7355 0.9858 0.1060  0.00

Summary:
Density, g cm⁻³: 7.2
Symmetry: I-42d, No. 122
DFT total energy, eV/atom: -5.97
M_tot, μB per cell: 0.46
Formation energy without anion corrections, eV per atom: -2.08